# NaCdI2N

A relaxed NaCdI2N crystal (PBE, Alexandria).

Computed properties:
Its crystal system is tetragonal. Its space-group type is No. 123. Its density of states at the Fermi level is 0.2 states/eV/f.u. For the formation energy (no corrections), the calculation gives 0.138 eV/atom.

Unit cell a=6.1555 b=6.1555 c=4.3736 alpha=90.00 beta=90.00 gamma=90.00
Element x y z (fractional)
N1 0.0000 0.0000 0.5000
Cd1 0.0000 0.0000 0.0000
Na1 0.5000 0.5000 0.5000
I1 0.0000 0.5000 0.0000
I2 0.5000 0.0000 0.0000